PBE CsYBr2F, optimized geometry; raw total energy = -23.1 eV/cell
1.0
5.922 0.000 0.000
0.000 5.922 0.000
0.000 0.000 4.459
Cs Y Br F
1 1 2 1
Direct
0.000 0.000 0.000
0.500 0.500 0.500
0.000 0.500 0.500
0.500 0.000 0.500
0.500 0.500 0.000


PBE CsYBrF2, optimized geometry; raw total energy = -25.3 eV/cell
1.0
4.731 0.000 0.000
0.000 4.731 0.000
0.000 0.000 5.859
Cs Y Br F
1 1 1 2
Direct
0.000 0.000 0.000
0.500 0.500 0.500
0.500 0.500 0.000
0.000 0.500 0.500
0.500 0.000 0.500


PBE Cs2ZrBr2F4, optimized geometry; raw total energy = -46.2 eV/cell
1.0
-3.703 3.703 4.721
3.703 -3.703 4.721
3.703 3.703 -4.721
Cs Zr Br F
2 1 2 4
Direct
0.250 0.750 0.500
0.750 0.250 0.500
0.000 0.000 0.000
0.285 0.285 0.000
0.715 0.715 0.000
0.193 0.193 0.387
0.193 0.807 0.000
0.807 0.193 0.000
0.807 0.807 0.613


PBE Cs3FeBr, optimized geometry; raw total energy = -12.3 eV/cell; ΔE to the lowest computed polymorph = 0 meV per atom
1.0
6.973 0.000 0.000
0.000 6.973 0.000
0.000 0.000 6.973
Cs Fe Br
3 1 1
Direct
0.000 0.000 0.500
0.000 0.500 0.000
0.500 0.000 0.000
0.500 0.500 0.500
0.000 0.000 0.000


no.,D(E_F) (states/eV per atom),formation energy from raw total energies (eV/atom)
1,0.38,-2.1216
2,0.55,-2.5054
3,0.00,-2.7938
4,2.55,0.0711